No. 1
The following is a PBE calculation of an optimized crystal structure of FeReSnIr, from the Open Quantum Materials Database.

Results
Magnetic moment, μB per cell: 3.606

Structure (CIF):
```
data_FeReSnIr
_chemical_formula_sum 'Fe1 Re1 Sn1 Ir1'
_cell_length_a 4.4394
_cell_length_b 4.4394
_cell_length_c 4.4394
_cell_angle_alpha 60.00
_cell_angle_beta 60.00
_cell_angle_gamma 60.00
_symmetry_space_group_name_H-M 'P 1'
_symmetry_Int_Tables_number 1
loop_
_symmetry_equiv_pos_as_xyz
'x,y,z'
loop_
_atom_site_label
_atom_site_fract_x
_atom_site_fract_y
_atom_site_fract_z
Sn1 0.0000 0.0000 0.0000
Fe1 0.7500 0.7500 0.7500
Re1 0.5000 0.5000 0.5000
Ir1 0.2500 0.2500 0.2500
```


No. 2
The following is a PBE calculation of an optimized crystal structure of ScFeSb2Ir2, from the Open Quantum Materials Database.

Results
Magnetic moment, μB per cell: 5.992

Structure (CIF):
```
data_ScFeSb2Ir2
_chemical_formula_sum 'Sc2 Fe2 Sb4 Ir4'
_cell_length_a 4.4340
_cell_length_b 8.6545
_cell_length_c 6.2105
_cell_angle_alpha 90.00
_cell_angle_beta 90.00
_cell_angle_gamma 90.00
_symmetry_space_group_name_H-M 'P 1'
_symmetry_Int_Tables_number 1
loop_
_symmetry_equiv_pos_as_xyz
'x,y,z'
loop_
_atom_site_label
_atom_site_fract_x
_atom_site_fract_y
_atom_site_fract_z
Sb1 0.5000 0.3765 0.0113
Sb2 0.5000 0.8734 0.9790
Sb3 0.0000 0.6235 0.5113
Sb4 0.0000 0.1266 0.4790
Fe1 0.5000 0.8803 0.4967
Fe2 0.0000 0.1197 0.9967
Ir1 0.0000 0.8848 0.7376
Ir2 0.5000 0.1152 0.2376
Ir3 0.5000 0.6414 0.2657
Ir4 0.0000 0.3586 0.7657
Sc1 0.5000 0.3744 0.5097
Sc2 0.0000 0.6256 0.0097
```


No. 3
The following is a PBE calculation of an optimized crystal structure of TaFeSbIr, from the Open Quantum Materials Database.

Results
Magnetic moment, μB per cell: 2.021

Structure (CIF):
```
data_TaFeSbIr
_chemical_formula_sum 'Ta1 Fe1 Sb1 Ir1'
_cell_length_a 4.5341
_cell_length_b 4.5341
_cell_length_c 4.5341
_cell_angle_alpha 60.00
_cell_angle_beta 60.00
_cell_angle_gamma 60.00
_symmetry_space_group_name_H-M 'P 1'
_symmetry_Int_Tables_number 1
loop_
_symmetry_equiv_pos_as_xyz
'x,y,z'
loop_
_atom_site_label
_atom_site_fract_x
_atom_site_fract_y
_atom_site_fract_z
Ir1 0.5000 0.5000 0.5000
Sb1 0.0000 0.0000 0.0000
Fe1 0.7500 0.7500 0.7500
Ta1 0.2500 0.2500 0.2500
```


No. 4
The following is a PBE calculation of an optimized crystal structure of TaFeSbIr, from the Open Quantum Materials Database.

Results
Magnetic moment, μB per cell: 2.089

Structure (CIF):
```
data_TaFeSbIr
_chemical_formula_sum 'Ta1 Fe1 Sb1 Ir1'
_cell_length_a 4.5191
_cell_length_b 4.5191
_cell_length_c 4.5191
_cell_angle_alpha 60.00
_cell_angle_beta 60.00
_cell_angle_gamma 60.00
_symmetry_space_group_name_H-M 'P 1'
_symmetry_Int_Tables_number 1
loop_
_symmetry_equiv_pos_as_xyz
'x,y,z'
loop_
_atom_site_label
_atom_site_fract_x
_atom_site_fract_y
_atom_site_fract_z
Ta1 0.5000 0.5000 0.5000
Sb1 0.0000 0.0000 0.0000
Fe1 0.7500 0.7500 0.7500
Ir1 0.2500 0.2500 0.2500
```


No. 5
The following is a PBE calculation of an optimized crystal structure of FeSbIrW, from the Open Quantum Materials Database.

Results
Magnetic moment, μB per cell: 1.420

Structure (CIF):
```
data_FeSbIrW
_chemical_formula_sum 'Fe1 Sb1 Ir1 W1'
_cell_length_a 4.4700
_cell_length_b 4.4700
_cell_length_c 4.4700
_cell_angle_alpha 60.00
_cell_angle_beta 60.00
_cell_angle_gamma 60.00
_symmetry_space_group_name_H-M 'P 1'
_symmetry_Int_Tables_number 1
loop_
_symmetry_equiv_pos_as_xyz
'x,y,z'
loop_
_atom_site_label
_atom_site_fract_x
_atom_site_fract_y
_atom_site_fract_z
Fe1 0.7500 0.7500 0.7500
Sb1 0.0000 0.0000 0.0000
W1 0.2500 0.2500 0.2500
Ir1 0.5000 0.5000 0.5000
```


No. 6
The following is a PBE calculation of an optimized crystal structure of FeSbIrW, from the Open Quantum Materials Database.

Results
Magnetic moment, μB per cell: 2.427

Structure (CIF):
```
data_FeSbIrW
_chemical_formula_sum 'Fe1 Sb1 Ir1 W1'
_cell_length_a 4.4768
_cell_length_b 4.4768
_cell_length_c 4.4768
_cell_angle_alpha 60.00
_cell_angle_beta 60.00
_cell_angle_gamma 60.00
_symmetry_space_group_name_H-M 'P 1'
_symmetry_Int_Tables_number 1
loop_
_symmetry_equiv_pos_as_xyz
'x,y,z'
loop_
_atom_site_label
_atom_site_fract_x
_atom_site_fract_y
_atom_site_fract_z
Sb1 0.0000 0.0000 0.0000
Fe1 0.7500 0.7500 0.7500
W1 0.5000 0.5000 0.5000
Ir1 0.2500 0.2500 0.2500
```


Results for energy: -32.13, -87.03, -32.46, -32.99, -32.67, -32.51 (in eV for the cell shown, following the order of the records).